Entry 1
Entry from the Alexandria database: a relaxed structure of HoPd4Pt (PBE).

Cell: 4.913 4.955 5.015 Å, 60.40 81.05 71.65°
Positions (direct):
Pd 0.500 0.826 0.349
Pd 0.000 0.664 0.672
Pd 0.500 0.174 0.651
Pd 0.000 0.336 0.328
Ho 0.000 0.000 0.000
Pt 0.500 0.500 0.000

## Properties
Symmetry   C2/m (12)
DOS(E_F)   3.360 states/eV/cell


Entry 2
Entry from the Alexandria database: a relaxed structure of HoPd4Pt (PBE).

Cell: 4.734 5.533 8.952 Å, 90.00 105.33 90.00°
Positions (direct):
Pt 0.425 0.401 0.849
Pt 0.575 0.901 0.151
Pd 0.127 0.661 0.253
Pd 0.873 0.161 0.747
Pd 0.286 0.649 0.572
Pd 0.571 0.413 0.143
Pd 0.289 0.149 0.578
Pd 0.714 0.149 0.428
Pd 0.429 0.913 0.857
Pd 0.711 0.649 0.422
Ho 0.116 0.161 0.233
Ho 0.884 0.661 0.767

## Properties
Symmetry   Cmc2_1 (36)
DOS(E_F)   9.987 states/eV/cell


Entry 3
Entry from the Alexandria database: a relaxed structure of HoPd4Pt (PBE).

Cell: 5.281 5.281 5.281 Å, 60.00 60.00 60.00°
Positions (direct):
Pd 0.624 0.127 0.624
Pd 0.624 0.624 0.624
Pd 0.127 0.624 0.624
Pd 0.624 0.624 0.127
Ho 0.000 0.000 0.000
Pt 0.250 0.250 0.250

## Properties
Symmetry   F-43m (216)
DOS(E_F)   8.210 states/eV/cell


Stability, highest: entry 1


Entry 1
Entry from the Alexandria database: a relaxed structure of Ho2Pd2Pt (PBE).

Cell: 5.697 6.044 7.650 Å, 113.27 111.86 90.00°
Positions (direct):
Pd 0.882 0.690 0.764
Pd 0.618 0.926 0.236
Pd 0.382 0.074 0.764
Pd 0.118 0.310 0.236
Pt 0.250 0.500 0.000
Pt 0.750 0.500 0.000
Ho 0.341 0.575 0.682
Ho 0.159 0.893 0.318
Ho 0.841 0.107 0.682
Ho 0.659 0.425 0.318

## Properties
Symmetry   Ibam (72)
DOS(E_F)   3.912 states/eV/cell


Entry 2
Entry from the Alexandria database: a relaxed structure of Ho2Pd2Pt (PBE).

Cell: 4.384 4.384 7.000 Å, 90.14 108.24 119.77°
Positions (direct):
Ho 0.186 0.592 0.778
Ho 0.814 0.408 0.222
Pt 0.000 0.000 0.000
Pd 0.288 0.144 0.432
Pd 0.712 0.856 0.568

## Properties
Symmetry   C2/m (12)
DOS(E_F)   2.582 states/eV/cell


Stability, highest: entry 2


Entry 1
Entry from the Alexandria database: a relaxed structure of HoPd2Pt2 (PBE).

Cell: 4.948 4.948 5.398 Å, 117.28 117.28 90.00°
Positions (direct):
Pt 0.250 0.750 0.500
Pt 0.750 0.250 0.500
Pd 0.653 0.653 0.306
Pd 0.347 0.347 0.694
Ho 0.000 0.000 0.000

## Properties
Symmetry   I4/mmm (139)
DOS(E_F)   4.740 states/eV/cell


Entry 2
Entry from the Alexandria database: a relaxed structure of HoPd2Pt2 (PBE).

Cell: 4.710 4.710 10.676 Å, 90.00 90.00 120.00°
Positions (direct):
Pd 0.667 0.333 0.999
Pd 0.333 0.667 0.001
Pd 0.333 0.667 0.499
Pd 0.667 0.333 0.501
Pt 0.000 0.000 0.500
Pt 0.000 0.000 0.000
Pt 0.333 0.667 0.250
Pt 0.667 0.333 0.750
Ho 0.000 0.000 0.250
Ho 0.000 0.000 0.750

## Properties
Symmetry   P6_3/mmc (194)
DOS(E_F)   3.902 states/eV/cell


Stability, highest: entry 2


Entry 1
Entry from the Alexandria database: a relaxed structure of HoPd5Pt2 (PBE).

Cell: 7.035 7.035 7.424 Å, 118.28 118.28 90.00°
Positions (direct):
Pt 0.145 0.355 0.000
Pt 0.645 0.145 0.000
Pt 0.355 0.855 0.000
Pt 0.855 0.645 0.000
Pd 0.000 0.000 0.000
Pd 0.516 0.312 0.328
Pd 0.016 0.516 0.328
Pd 0.688 0.188 0.672
Pd 0.984 0.484 0.672
Pd 0.484 0.688 0.672
Pd 0.312 0.812 0.328
Pd 0.812 0.016 0.328
Pd 0.188 0.984 0.672
Pd 0.500 0.500 0.000
Ho 0.250 0.250 0.500
Ho 0.750 0.750 0.500

## Properties
Symmetry   I4/mcm (140)
DOS(E_F)   15.502 states/eV/cell


Entry 2
Entry from the Alexandria database: a relaxed structure of HoPd5Pt2 (PBE).

Cell: 4.055 5.687 11.404 Å, 90.00 90.00 90.00°
Positions (direct):
Pd 0.000 0.987 0.249
Pd 0.500 0.753 0.627
Pd 0.500 0.247 0.373
Pd 0.000 0.487 0.251
Pd 0.500 0.253 0.873
Pd 0.000 0.013 0.751
Pd 0.500 0.747 0.127
Pd 0.000 0.500 0.500
Pd 0.000 0.000 0.000
Pd 0.000 0.513 0.749
Pt 0.500 0.263 0.628
Pt 0.500 0.763 0.872
Pt 0.500 0.237 0.128
Pt 0.500 0.737 0.372
Ho 0.000 0.000 0.500
Ho 0.000 0.500 0.000

## Properties
Symmetry   Pbam (55)
DOS(E_F)   24.236 states/eV/cell


Stability, highest: entry 2


Entry 1
Entry from the Alexandria database: a relaxed structure of Ho2Pd3Pt (PBE).

Cell: 9.979 9.979 9.751 Å, 133.33 133.33 70.05°
Positions (direct):
Pd 0.966 0.034 0.500
Pd 0.284 0.716 0.000
Pd 0.016 0.516 0.500
Pd 0.534 0.466 0.500
Pd 0.125 0.375 0.250
Pd 0.125 0.875 0.250
Pd 0.716 0.284 0.000
Pd 0.625 0.875 0.750
Pd 0.484 0.984 0.500
Pd 0.125 0.875 0.750
Pd 0.234 0.234 0.000
Pd 0.766 0.766 0.000
Pt 0.361 0.361 0.721
Pt 0.639 0.639 0.279
Pt 0.611 0.111 0.221
Pt 0.889 0.389 0.779
Ho 0.361 0.137 0.302
Ho 0.387 0.111 0.802
Ho 0.942 0.165 0.302
Ho 0.889 0.613 0.198
Ho 0.835 0.058 0.698
Ho 0.863 0.639 0.698
Ho 0.308 0.585 0.198
Ho 0.415 0.692 0.802

## Properties
Symmetry   Fddd (70)
DOS(E_F)   9.210 states/eV/cell


Entry 2
Entry from the Alexandria database: a relaxed structure of Ho2Pd3Pt (PBE).

Cell: 7.410 8.626 7.060 Å, 127.66 121.66 90.00°
Positions (direct):
Ho 0.509 0.309 0.618
Ho 0.891 0.191 0.382
Ho 0.109 0.809 0.618
Ho 0.491 0.691 0.382
Pd 0.500 0.250 0.000
Pd 0.179 0.929 0.358
Pd 0.821 0.571 0.642
Pd 0.821 0.071 0.642
Pd 0.500 0.750 0.000
Pd 0.179 0.429 0.358
Pt 0.000 0.000 0.000
Pt 0.000 0.500 0.000

## Properties
Symmetry   Ibam (72)
DOS(E_F)   6.253 states/eV/cell


Stability, highest: entry 1


Entry 1
Entry from the Alexandria database: a relaxed structure of HoPuPdPt (PBE).

Cell: 4.956 4.956 4.956 Å, 60.00 60.00 60.00°
Each line ends with the local moment (μB).
Positions (direct):
Pt 0.250 0.250 0.250  -0.04
Pu 0.500 0.500 0.500  5.25
Ho 0.000 0.000 0.000  0.17
Pd 0.750 0.750 0.750  0.02

## Properties
Symmetry   F-43m (216)
DOS(E_F)   12.406 states/eV/cell


Entry 2
Entry from the Alexandria database: a relaxed structure of HoPuPdPt (PBE).

Cell: 3.772 4.440 5.676 Å, 90.00 109.41 90.00°
Each line ends with the local moment (μB).
Positions (direct):
Pt 0.589 0.500 0.177  -0.02
Pu 0.861 0.500 0.721  5.21
Pd 0.412 0.000 0.825  -0.03
Ho 0.138 0.000 0.277  0.10

## Properties
Symmetry   Amm2 (38)
DOS(E_F)   13.328 states/eV/cell


Stability, highest: entry 2